Crystalline AgPb3 at its relaxed geometry. Source: Alexandria, functional PBEsol.

Structure (CIF):
```
data_AgPb3
_cell_length_a 6.6962
_cell_length_b 6.6962
_cell_length_c 5.4107
_cell_angle_alpha 90.00
_cell_angle_beta 90.00
_cell_angle_gamma 120.00
_symmetry_space_group_name_H-M 'P 1'
_symmetry_Int_Tables_number 1
loop_
_symmetry_equiv_pos_as_xyz
'x,y,z'
loop_
_atom_site_label
_atom_site_type_symbol
_atom_site_fract_x
_atom_site_fract_y
_atom_site_fract_z
_atom_site_occupancy
Ag1 Ag 0.3333 0.6667 0.2500 1
Ag2 Ag 0.6667 0.3333 0.7500 1
Pb1 Pb 0.1709 0.3418 0.7500 1
Pb2 Pb 0.1709 0.8291 0.7500 1
Pb3 Pb 0.3418 0.1709 0.2500 1
Pb4 Pb 0.6582 0.8291 0.7500 1
Pb5 Pb 0.8291 0.1709 0.2500 1
Pb6 Pb 0.8291 0.6582 0.2500 1
```

Output
VASP energy = -3.709 eV per atom
Fermi-level density of states = 3.10 states/eV per cell
total magnetization = 0.00 μB/f.u.
ΔH_f (0 K) = 117.8 meV per atom

---

Crystalline Cd2In at its relaxed geometry. Source: Alexandria, functional PBEsol.

Structure (CIF):
```
data_Cd2In
_cell_length_a 5.2307
_cell_length_b 5.2307
_cell_length_c 5.8672
_cell_angle_alpha 90.00
_cell_angle_beta 90.00
_cell_angle_gamma 120.00
_symmetry_space_group_name_H-M 'P 1'
_symmetry_Int_Tables_number 1
loop_
_symmetry_equiv_pos_as_xyz
'x,y,z'
loop_
_atom_site_label
_atom_site_type_symbol
_atom_site_fract_x
_atom_site_fract_y
_atom_site_fract_z
_atom_site_occupancy
Cd1 Cd 0.0000 0.0000 0.0000 1
Cd2 Cd 0.0000 0.0000 0.5000 1
Cd3 Cd 0.3333 0.6667 0.2500 1
Cd4 Cd 0.6667 0.3333 0.7500 1
In1 In 0.3333 0.6667 0.7500 1
In2 In 0.6667 0.3333 0.2500 1
```

Output
VASP energy = -1.705 eV per atom
Fermi-level density of states = 2.67 states/eV per cell
total magnetization = 0.00 μB/f.u.
ΔH_f (0 K) = 87.5 meV per atom

---

Crystalline Re3Tc2 at its relaxed geometry. Source: Alexandria, functional PBEsol.

Structure (CIF):
```
data_Re3Tc2
_cell_length_a 11.2564
_cell_length_b 11.2564
_cell_length_c 11.2564
_cell_angle_alpha 13.94
_cell_angle_beta 13.94
_cell_angle_gamma 13.94
_symmetry_space_group_name_H-M 'P 1'
_symmetry_Int_Tables_number 1
loop_
_symmetry_equiv_pos_as_xyz
'x,y,z'
loop_
_atom_site_label
_atom_site_type_symbol
_atom_site_fract_x
_atom_site_fract_y
_atom_site_fract_z
_atom_site_occupancy
Re1 Re 0.0000 0.0000 0.0000 1
Re2 Re 0.2006 0.2006 0.2006 1
Re3 Re 0.7994 0.7994 0.7994 1
Tc1 Tc 0.4000 0.4000 0.4000 1
Tc2 Tc 0.6000 0.6000 0.6000 1
```

Output
VASP energy = -12.443 eV per atom
Fermi-level density of states = 4.32 states/eV per cell
total magnetization = 0.00 μB/f.u.
ΔH_f (0 K) = 62.5 meV per atom

---

Crystalline CrInSb2I at its relaxed geometry. Source: Alexandria, functional PBEsol.

Structure (CIF):
```
data_CrInSb2I
_cell_length_a 4.9729
_cell_length_b 4.9729
_cell_length_c 5.8297
_cell_angle_alpha 90.00
_cell_angle_beta 90.00
_cell_angle_gamma 90.00
_symmetry_space_group_name_H-M 'P 1'
_symmetry_Int_Tables_number 1
loop_
_symmetry_equiv_pos_as_xyz
'x,y,z'
loop_
_atom_site_label
_atom_site_type_symbol
_atom_site_fract_x
_atom_site_fract_y
_atom_site_fract_z
_atom_site_occupancy
Cr1 Cr 0.0000 0.0000 0.0000 1
In1 In 0.5000 0.5000 0.5000 1
Sb1 Sb 0.0000 0.5000 0.0000 1
Sb2 Sb 0.5000 0.0000 0.0000 1
I1 I 0.0000 0.0000 0.5000 1
```

Output
VASP energy = -4.517 eV per atom
Fermi-level density of states = 2.44 states/eV per cell
total magnetization = 1.60 μB/f.u.
excess energy over the best structure of this formula in the dataset = 0 meV/atom
uncorrected formation energy = 305 meV per atom

---

Crystalline KReRu at its relaxed geometry. Source: Alexandria, functional PBEsol.

Structure (CIF):
```
data_KReRu
_cell_length_a 7.3599
_cell_length_b 7.3599
_cell_length_c 7.3599
_cell_angle_alpha 156.66
_cell_angle_beta 156.66
_cell_angle_gamma 33.25
_symmetry_space_group_name_H-M 'P 1'
_symmetry_Int_Tables_number 1
loop_
_symmetry_equiv_pos_as_xyz
'x,y,z'
loop_
_atom_site_label
_atom_site_type_symbol
_atom_site_fract_x
_atom_site_fract_y
_atom_site_fract_z
_atom_site_occupancy
K1 K 0.0000 0.0000 0.0000 1
Re1 Re 0.7106 0.7106 0.0000 1
Ru1 Ru 0.3023 0.3023 0.0000 1
```

Output
VASP energy = -7.267 eV per atom
Fermi-level density of states = 4.91 states/eV per cell
total magnetization = 0.00 μB/f.u.
ΔH_f (0 K) = 945.3 meV per atom

---

Crystalline Cu4Pt7 at its relaxed geometry. Source: Alexandria, functional PBEsol.

Structure (CIF):
```
data_Cu4Pt7
_cell_length_a 4.6650
_cell_length_b 4.6677
_cell_length_c 7.1300
_cell_angle_alpha 90.08
_cell_angle_beta 96.19
_cell_angle_gamma 99.72
_symmetry_space_group_name_H-M 'P 1'
_symmetry_Int_Tables_number 1
loop_
_symmetry_equiv_pos_as_xyz
'x,y,z'
loop_
_atom_site_label
_atom_site_type_symbol
_atom_site_fract_x
_atom_site_fract_y
_atom_site_fract_z
_atom_site_occupancy
Cu1 Cu 0.0000 0.0000 0.0000 1
Cu2 Cu 0.0926 0.1796 0.3630 1
Cu3 Cu 0.4578 0.9076 0.8218 1
Cu4 Cu 0.7309 0.4509 0.9096 1
Pt1 Pt 0.1888 0.3586 0.7360 1
Pt2 Pt 0.2736 0.5450 0.0875 1
Pt3 Pt 0.3600 0.7230 0.4550 1
Pt4 Pt 0.5484 0.0926 0.1727 1
Pt5 Pt 0.6402 0.2666 0.5511 1
Pt6 Pt 0.8225 0.6401 0.2657 1
Pt7 Pt 0.9090 0.8164 0.6479 1
```

Output
VASP energy = -6.088 eV per atom
Fermi-level density of states = 12.57 states/eV per cell
total magnetization = 0.00 μB/f.u.
excess energy over the best structure of this formula in the dataset = 15 meV/atom
ΔH_f (0 K) = -80.4 meV per atom

---

Crystalline Mg2ZrCd at its relaxed geometry. Source: Alexandria, functional PBEsol.

Structure (CIF):
```
data_Mg2ZrCd
_cell_length_a 10.5348
_cell_length_b 10.5348
_cell_length_c 10.5348
_cell_angle_alpha 16.80
_cell_angle_beta 16.80
_cell_angle_gamma 16.80
_symmetry_space_group_name_H-M 'P 1'
_symmetry_Int_Tables_number 1
loop_
_symmetry_equiv_pos_as_xyz
'x,y,z'
loop_
_atom_site_label
_atom_site_type_symbol
_atom_site_fract_x
_atom_site_fract_y
_atom_site_fract_z
_atom_site_occupancy
Mg1 Mg 0.2477 0.2477 0.2477 1
Mg2 Mg 0.7523 0.7523 0.7523 1
Zr1 Zr 0.0000 0.0000 0.0000 1
Cd1 Cd 0.5000 0.5000 0.5000 1
```

Output
VASP energy = -3.427 eV per atom
Fermi-level density of states = 2.13 states/eV per cell
total magnetization = 0.00 μB/f.u.
ΔH_f (0 K) = 3.5 meV per atom

---

Crystalline NdSbPd at its relaxed geometry. Source: Alexandria, functional PBEsol.

Structure (CIF):
```
data_NdSbPd
_cell_length_a 4.5262
_cell_length_b 4.5262
_cell_length_c 15.8934
_cell_angle_alpha 90.00
_cell_angle_beta 90.00
_cell_angle_gamma 120.00
_symmetry_space_group_name_H-M 'P 1'
_symmetry_Int_Tables_number 1
loop_
_symmetry_equiv_pos_as_xyz
'x,y,z'
loop_
_atom_site_label
_atom_site_type_symbol
_atom_site_fract_x
_atom_site_fract_y
_atom_site_fract_z
_atom_site_occupancy
Nd1 Nd 0.0000 0.0000 0.0000 1
Nd2 Nd 0.0000 0.0000 0.2500 1
Nd3 Nd 0.0000 0.0000 0.5000 1
Nd4 Nd 0.0000 0.0000 0.7500 1
Sb1 Sb 0.3333 0.6667 0.1185 1
Sb2 Sb 0.3333 0.6667 0.3815 1
Sb3 Sb 0.6667 0.3333 0.6185 1
Sb4 Sb 0.6667 0.3333 0.8815 1
Pd1 Pd 0.3333 0.6667 0.6377 1
Pd2 Pd 0.3333 0.6667 0.8623 1
Pd3 Pd 0.6667 0.3333 0.1377 1
Pd4 Pd 0.6667 0.3333 0.3623 1
```

Output
VASP energy = -6.304 eV per atom
Fermi-level density of states = 3.08 states/eV per cell
total magnetization = 0.00 μB/f.u.
uncorrected formation energy = -1077 meV per atom

---

Number 7 is which compound? Mg2ZrCd

---

Which of these has the highest VASP energy? Cd2In

---

Number 3 is which compound? Re3Tc2